# LaMg3P3 (PBE, relaxed)
data_LaMg3P3
_space_group_name_H-M_alt 'P 1'
_space_group_IT_number 1
_cell_length_a 8.2078
_cell_length_b 8.2078
_cell_length_c 8.2078
_cell_angle_alpha 54.01
_cell_angle_beta 54.01
_cell_angle_gamma 54.01
loop_
_space_group_symop_operation_xyz
'x,y,z'
loop_
_atom_site_label
_atom_site_fract_x
_atom_site_fract_y
_atom_site_fract_z
La1 0.1669 0.1669 0.1669
La2 0.8331 0.8331 0.8331
Mg1 0.0722 0.3716 0.6945
Mg2 0.3055 0.9278 0.6284
Mg3 0.3716 0.6945 0.0722
Mg4 0.6284 0.3055 0.9278
Mg5 0.6945 0.0722 0.3716
Mg6 0.9278 0.6284 0.3055
P1 0.0594 0.7637 0.4185
P2 0.2363 0.5815 0.9406
P3 0.4185 0.0594 0.7637
P4 0.5815 0.9406 0.2363
P5 0.7637 0.4185 0.0594
P6 0.9406 0.2363 0.5815
# Energy of formation from the pure elements: -6.3 eV per formula unit
# SG: No. 148

***

# Pm4NdAg5 (PBE, relaxed)
data_Pm4NdAg5
_space_group_name_H-M_alt 'P 1'
_space_group_IT_number 1
_cell_length_a 3.7081
_cell_length_b 3.7081
_cell_length_c 18.9708
_cell_angle_alpha 90.00
_cell_angle_beta 90.00
_cell_angle_gamma 90.00
loop_
_space_group_symop_operation_xyz
'x,y,z'
loop_
_atom_site_label
_atom_site_fract_x
_atom_site_fract_y
_atom_site_fract_z
Pm1 0.0000 0.0000 0.0998
Pm2 0.0000 0.0000 0.2991
Pm3 0.0000 0.0000 0.7009
Pm4 0.0000 0.0000 0.9002
Nd1 0.0000 0.0000 0.5000
Ag1 0.5000 0.5000 0.0000
Ag2 0.5000 0.5000 0.1995
Ag3 0.5000 0.5000 0.3980
Ag4 0.5000 0.5000 0.6020
Ag5 0.5000 0.5000 0.8005
# Energy of formation from the pure elements: -2.7 eV per formula unit
# SG: No. 123

***

# AcPr4Nd2Sm (PBE, relaxed)
data_AcPr4Nd2Sm
_space_group_name_H-M_alt 'P 1'
_space_group_IT_number 1
_cell_length_a 5.2662
_cell_length_b 5.2814
_cell_length_c 10.5553
_cell_angle_alpha 90.00
_cell_angle_beta 90.11
_cell_angle_gamma 90.00
loop_
_space_group_symop_operation_xyz
'x,y,z'
loop_
_atom_site_label
_atom_site_fract_x
_atom_site_fract_y
_atom_site_fract_z
Ac1 0.0000 0.0000 0.0000
Pr1 0.0003 0.5000 0.2564
Pr2 0.9997 0.5000 0.7436
Pr3 0.4994 0.0000 0.7434
Pr4 0.5006 0.0000 0.2566
Nd1 0.0000 0.0000 0.5000
Nd2 0.5000 0.5000 0.0000
Sm1 0.5000 0.5000 0.5000
# Energy of formation from the pure elements: 0.1 eV per formula unit
# SG: No. 10

***

# AcSb2Pb (PBE, relaxed)
data_AcSb2Pb
_space_group_name_H-M_alt 'P 1'
_space_group_IT_number 1
_cell_length_a 5.2507
_cell_length_b 5.2507
_cell_length_c 4.5401
_cell_angle_alpha 90.00
_cell_angle_beta 90.00
_cell_angle_gamma 90.00
loop_
_space_group_symop_operation_xyz
'x,y,z'
loop_
_atom_site_label
_atom_site_fract_x
_atom_site_fract_y
_atom_site_fract_z
Ac1 0.0000 0.0000 0.0000
Sb1 0.0000 0.5000 0.5000
Sb2 0.5000 0.0000 0.5000
Pb1 0.5000 0.5000 0.0000
# Distance to the lowest polymorph of the same formula: 0.6 meV/atom
# Formation energy from raw total energies: -565 meV per atom
# SG: No. 123

***

# Lu3MgNi (PBE, relaxed)
data_Lu3MgNi
_space_group_name_H-M_alt 'P 1'
_space_group_IT_number 1
_cell_length_a 5.1437
_cell_length_b 5.1437
_cell_length_c 5.1437
_cell_angle_alpha 90.00
_cell_angle_beta 90.00
_cell_angle_gamma 90.00
loop_
_space_group_symop_operation_xyz
'x,y,z'
loop_
_atom_site_label
_atom_site_fract_x
_atom_site_fract_y
_atom_site_fract_z
Lu1 0.0000 0.0000 0.5000
Lu2 0.0000 0.5000 0.0000
Lu3 0.5000 0.0000 0.0000
Mg1 0.5000 0.5000 0.5000
Ni1 0.0000 0.0000 0.0000
# Energy of formation from the pure elements: -0.4 eV per formula unit
# SG: No. 221

***

no.,density (g cm⁻³)
1,3.0
2,8.0
3,7.0
4,9.0
5,7.4